DFT (PBE-GGA) results for a relaxed La3Er2Tm crystal.

Output
* V: 205 Å³ per cell
* ΔH_f (0 K): 337 meV per atom
* crystal system: orthorhombic

Geometry as POSCAR:
```
La3Er2Tm
1.0
-1.732 3.007 9.839
1.732 -3.007 9.839
1.732 3.007 -9.839
La Er Tm
3 2 1
direct
0.000 0.000 0.000 La
0.313 0.813 0.500 La
0.687 0.187 0.500 La
0.137 0.637 0.500 Er
0.863 0.363 0.500 Er
0.500 0.000 0.500 Tm
```